Entry 1:
# KP2Rh2 (PBEsol, relaxed)
# calculated total energy = -65.469 eV per cell
# formation energy from the elements = -748.3 meV/atom
data_KP2Rh2
_cell_length_a 3.875
_cell_length_b 3.875
_cell_length_c 12.783
_cell_angle_alpha 90.00
_cell_angle_beta 90.00
_cell_angle_gamma 90.00
_space_group_name_H-M_alt 'I 4/m m m'
_space_group_IT_number 139
_space_group_name_Hall '-I 4 2'
loop_
_atom_site_label
_atom_site_type_symbol
_atom_site_fract_x
_atom_site_fract_y
_atom_site_fract_z
K1 K 0.000 0.000 0.000
P1 P 0.000 0.000 0.350
Rh1 Rh 0.000 0.500 0.250


Entry 2:
# KPRh (PBEsol, relaxed)
# calculated total energy = -52.441 eV per cell
# formation energy from the elements = 651.0 meV/atom
data_KPRh
_cell_length_a 6.265
_cell_length_b 6.265
_cell_length_c 6.265
_cell_angle_alpha 90.00
_cell_angle_beta 90.00
_cell_angle_gamma 90.00
_space_group_name_H-M_alt 'F -4 3 m'
_space_group_IT_number 216
_space_group_name_Hall 'F -4 2 3'
loop_
_atom_site_label
_atom_site_type_symbol
_atom_site_fract_x
_atom_site_fract_y
_atom_site_fract_z
K1 K 0.000 0.000 0.000
P1 P 0.250 0.250 0.250
Rh1 Rh 0.000 0.000 0.500


Entry 3:
# KP2Rh (PBEsol, relaxed)
# polymorph energy (0 for the lowest one) = 4.259 kcal/mol of atoms
# calculated total energy = -21.868 eV per cell
# formation energy from the elements = -253.3 meV/atom
data_KP2Rh
_cell_length_a 3.218
_cell_length_b 3.218
_cell_length_c 6.940
_cell_angle_alpha 90.00
_cell_angle_beta 90.00
_cell_angle_gamma 90.00
_space_group_name_H-M_alt 'P 4/m m m'
_space_group_IT_number 123
_space_group_name_Hall '-P 4 2'
loop_
_atom_site_label
_atom_site_type_symbol
_atom_site_fract_x
_atom_site_fract_y
_atom_site_fract_z
K1 K 0.000 0.000 0.000
P1 P 0.500 0.500 0.338
Rh1 Rh 0.000 0.000 0.500


Entry 4:
# KP2Rh (PBEsol, relaxed)
# polymorph energy (0 for the lowest one) = 0.000 kcal/mol of atoms
# calculated total energy = -45.213 eV per cell
# formation energy from the elements = -438.0 meV/atom
data_KP2Rh
_cell_length_a 7.262
_cell_length_b 3.561
_cell_length_c 6.355
_cell_angle_alpha 90.00
_cell_angle_beta 104.93
_cell_angle_gamma 90.00
_space_group_name_H-M_alt 'C 1 2/m 1'
_space_group_IT_number 12
_space_group_name_Hall '-C 2y'
loop_
_atom_site_label
_atom_site_type_symbol
_atom_site_fract_x
_atom_site_fract_y
_atom_site_fract_z
K1 K 0.000 0.000 0.000
P1 P 0.222 0.000 0.629
Rh1 Rh 0.000 0.500 0.500


Entry 5:
# KP2Rh (PBEsol, relaxed)
# polymorph energy (0 for the lowest one) = 6.681 kcal/mol of atoms
# calculated total energy = -85.790 eV per cell
# formation energy from the elements = -148.2 meV/atom
data_KP2Rh
_cell_length_a 6.939
_cell_length_b 6.939
_cell_length_c 8.149
_cell_angle_alpha 90.00
_cell_angle_beta 90.00
_cell_angle_gamma 90.00
_space_group_name_H-M_alt 'I -4 2 d'
_space_group_IT_number 122
_space_group_name_Hall 'I -4 2bw'
loop_
_atom_site_label
_atom_site_type_symbol
_atom_site_fract_x
_atom_site_fract_y
_atom_site_fract_z
K1 K 0.000 0.000 0.000
P1 P 0.133 0.750 0.625
Rh1 Rh 0.000 0.000 0.500


Entry 6:
# KP2Rh (PBEsol, relaxed)
# polymorph energy (0 for the lowest one) = 17.186 kcal/mol of atoms
# calculated total energy = -78.502 eV per cell
# formation energy from the elements = 307.3 meV/atom
data_KP2Rh
_cell_length_a 6.355
_cell_length_b 6.355
_cell_length_c 6.355
_cell_angle_alpha 90.00
_cell_angle_beta 90.00
_cell_angle_gamma 90.00
_space_group_name_H-M_alt 'F m -3 m'
_space_group_IT_number 225
_space_group_name_Hall '-F 4 2 3'
loop_
_atom_site_label
_atom_site_type_symbol
_atom_site_fract_x
_atom_site_fract_y
_atom_site_fract_z
K1 K 0.000 0.000 0.000
P1 P 0.250 0.250 0.250
Rh1 Rh 0.000 0.000 0.500